The following is a DFT calculation (GGA-PBE) of an optimized crystal structure of Dy4PdSe2S.

**DFT total energy**: -47.25 eV for the cell shown
**Size of the total moment**: 0.0 μB/cell
**Energy relative to the elements, uncorrected**: -1569 meV per atom

abc: 7.0693 3.9738 7.0705
angles: 90.00 108.95 90.00
With the nearest neighbours (Å) after each atom.
Element x y z (fractional)
1 Dy 0.2360 0.0000 0.2452  2 Pd 2.80, 1 S 2.82, 3 Se 2.91-2.93
2 Dy 0.2383 0.5000 0.7412  2 S 2.80, 1 Pd 2.86, 3 Se 2.90-2.92
3 Dy 0.7617 0.5000 0.2588  2 S 2.80, 1 Pd 2.86, 3 Se 2.90-2.92
4 Dy 0.7640 0.0000 0.7548  2 Pd 2.80, 1 S 2.82, 3 Se 2.91-2.93
5 Pd 0.0000 0.5000 0.0000  6 Dy 2.80-2.86
6 Se 0.5000 0.0000 0.0000  6 Dy 2.92-2.93
7 Se 0.5000 0.5000 0.5000  6 Dy 2.90-2.91
8 S 0.0000 0.0000 0.5000  6 Dy 2.80-2.82